# 1
DFT (PBE) results for crystalline Ce4Ni2Au5 at its relaxed geometry.

abc: 3.7410 7.3317 8.9031
angles: 92.51 90.00 90.00
Last column: magnetic moment on the atom in μB.
Fractional positions:
Ce 0.5000 0.2317 0.4122  0.44
Ce 0.5000 0.7969 0.1480  0.54
Ce 0.5000 0.7683 0.5878  0.44
Ce 0.5000 0.2031 0.8520  0.54
Ni 0.0000 0.9348 0.3682  -0.06
Ni 0.0000 0.0652 0.6318  -0.06
Au 0.0000 0.4358 0.6564  0.00
Au 0.0000 0.8525 0.8677  0.00
Au 0.0000 0.5000 0.0000  0.00
Au 0.0000 0.1475 0.1323  0.00
Au 0.0000 0.5642 0.3436  0.00

Properties
The density of states at the Fermi level is 22.85 states/eV/f.u. As for the density: 11.3 g/cm³. The space group is P2/m.

# 2
DFT (PBE) results for crystalline CdSiSnHg at its relaxed geometry.

abc: 3.0564 5.6379 5.6739
angles: 89.99 103.20 90.00
Fractional positions:
Hg 0.7870 0.1121 0.5600
Si 0.0498 0.6120 0.0462
Sn 0.0795 0.1121 0.0824
Cd 0.3116 0.6120 0.5835

Properties
The density of states at the Fermi level is 1.99 states/eV/f.u. As for the density: 8.0 g/cm³. For the energy above the most stable polymorph in this dataset, the calculation gives 0.084 eV per atom. The space group is Pm. The value obtained for the uncorrected formation energy is 0.2808 eV/atom.

# 3
DFT (PBE) results for crystalline CsCr5Se8 at its relaxed geometry.

abc: 9.7348 9.7348 9.2371
angles: 75.27 75.27 22.01
Last column: magnetic moment on the atom in μB.
Fractional positions:
Cs 0.5000 0.5000 0.5000  0.00
Cr 0.0000 0.0000 0.0000  2.98
Cr 0.6597 0.6597 0.0185  3.01
Cr 0.3403 0.3403 0.9815  3.01
Cr 0.2953 0.2953 0.3331  3.02
Cr 0.7047 0.7047 0.6669  3.02
Se 0.5757 0.5757 0.8488  -0.12
Se 0.4243 0.4243 0.1512  -0.12
Se 0.9120 0.9120 0.8356  -0.12
Se 0.0880 0.0880 0.1644  -0.12
Se 0.8273 0.8273 0.4864  -0.16
Se 0.1727 0.1727 0.5136  -0.16
Se 0.2394 0.2394 0.8425  -0.09
Se 0.7606 0.7606 0.1575  -0.09

Properties
The density of states at the Fermi level is 0.64 states/eV/f.u. As for the density: 5.4 g/cm³. The space group is C2/m. The value obtained for the uncorrected formation energy is -0.6545 eV/atom.

# 4
DFT (PBE) results for crystalline Re2WCl at its relaxed geometry.

abc: 4.4532 4.4532 4.4532
angles: 60.00 60.00 60.00
Fractional positions:
Cl 0.5000 0.5000 0.5000
Re 0.0000 0.0000 0.0000
Re 0.7500 0.7500 0.7500
W 0.2500 0.2500 0.2500

Properties
The density of states at the Fermi level is 5.55 states/eV/f.u. As for the density: 15.7 g/cm³. For the energy above the most stable polymorph in this dataset, the calculation gives 0.642 eV per atom. The space group is F-43m. The value obtained for the uncorrected formation energy is 1.0952 eV/atom.

# 5
DFT (PBE) results for crystalline Pr4NdTh3N8 at its relaxed geometry.

abc: 7.3535 7.3486 7.3537
angles: 120.02 120.00 90.00
Fractional positions:
Pr 0.5000 0.0000 0.0000
Pr 0.5000 0.0000 0.5000
Pr 0.0000 0.0000 0.0000
Pr 0.0000 0.0000 0.5000
Nd 0.0000 0.5000 0.0000
Th 0.5000 0.5000 0.0000
Th 0.5000 0.5000 0.5000
Th 0.0000 0.5000 0.5000
N 0.2489 0.7356 0.9865
N 0.2490 0.7355 0.4980
N 0.2559 0.2675 0.5118
N 0.7376 0.7356 0.9865
N 0.2624 0.2644 0.0135
N 0.7441 0.7325 0.4882
N 0.7510 0.2645 0.5020
N 0.7511 0.2644 0.0135

Properties
The density of states at the Fermi level is 2.45 states/eV/f.u. As for the density: 9.0 g/cm³. The space group is R-3m. The value obtained for the uncorrected formation energy is -1.4719 eV/atom.

# 6
DFT (PBE) results for crystalline PmPd6Au8 at its relaxed geometry.

abc: 7.7551 7.7551 7.0793
angles: 56.79 56.79 60.00
Fractional positions:
Pm 0.0000 0.0000 0.0000
Pd 0.3656 0.0996 0.8837
Pd 0.9004 0.3489 0.1163
Pd 0.3489 0.6344 0.1163
Pd 0.6511 0.3656 0.8837
Pd 0.0996 0.6511 0.8837
Pd 0.6344 0.9004 0.1163
Au 0.5529 0.1917 0.3884
Au 0.8083 0.1330 0.6116
Au 0.1330 0.4471 0.6116
Au 0.7438 0.7438 0.7687
Au 0.2562 0.2562 0.2313
Au 0.8670 0.5529 0.3884
Au 0.1917 0.8670 0.3884
Au 0.4471 0.8083 0.6116

Properties
The density of states at the Fermi level is 6.26 states/eV/f.u. As for the density: 13.7 g/cm³. For the energy above the most stable polymorph in this dataset, the calculation gives 0.007 eV per atom. The space group is R-3.

# 7
DFT (PBE) results for crystalline Dy5PuTh8 at its relaxed geometry.

abc: 8.4703 8.4703 8.4703
angles: 104.07 120.91 104.07
Last column: magnetic moment on the atom in μB.
Fractional positions:
Dy 0.9267 0.1990 0.1259  -0.01
Dy 0.8741 0.8008 0.0730  -0.01
Dy 0.9270 0.8010 0.7277  -0.01
Dy 0.5000 0.0000 0.5000  -0.02
Dy 0.2723 0.1992 0.0733  -0.01
Pu 0.2500 0.5000 0.7500  5.38
Th 0.0433 0.4994 0.9561  0.08
Th 0.0439 0.0871 0.5433  0.08
Th 0.7478 0.3372 0.4110  0.02
Th 0.5890 0.3369 0.9262  0.02
Th 0.5894 0.6631 0.2522  0.02
Th 0.4561 0.9129 0.9567  0.08
Th 0.4567 0.5006 0.5439  0.08
Th 0.0738 0.6628 0.4106  0.02

Properties
The density of states at the Fermi level is 24.60 states/eV/f.u. As for the density: 10.7 g/cm³. The space group is I-4m2.

# 8
DFT (PBE) results for crystalline SrIF3 at its relaxed geometry.

abc: 4.9439 4.9439 4.9439
angles: 90.00 90.00 90.00
Fractional positions:
I 0.0000 0.0000 0.0000
Sr 0.5000 0.5000 0.5000
F 0.0000 0.5000 0.0000
F 0.0000 0.0000 0.5000
F 0.5000 0.0000 0.0000

Properties
The density of states at the Fermi level is 2.20 states/eV/f.u. As for the density: 3.7 g/cm³. For the energy above the most stable polymorph in this dataset, the calculation gives 0.677 eV per atom. The space group is Pm-3m. The value obtained for the uncorrected formation energy is -1.5477 eV/atom.

no.,uncorrected energy (eV/cell),volume (Å³ per cell)
1,-58.007,244.0
2,-9.520,95.2
3,-86.009,316.8
4,-35.315,62.4
5,-136.299,280.9
6,-64.241,285.6
7,-92.854,453.6
8,-16.584,120.8